DFT (GGA-PBE) results for CaGa2Br after structural relaxation.

Cell lengths 8.779, 8.779, 5.746 Å; angles 90.00, 90.00, 90.00 degrees
Space group I-42d (No. 122)
Unique sites:
Ca (0.000, 0.000, 0.000) x4
Ga (0.246, 0.750, 0.625) x8
Br (0.000, 0.000, 0.500) x4

Properties
Relative energy among the computed polymorphs ... 0 meV per atom
Fermi-level density of states ... 9.4 states/eV per cell
E_form (uncorrected) ... -0.291 eV/atom